(1)
The following is a PBE calculation of a relaxed AlB4Au crystal, from the Open Quantum Materials Database.

**Excess energy over the best structure of this formula in the dataset**: 0 meV per atom
**VASP energy**: -5.3685 eV per atom
**Symmetry**: P6/mmm, No. 191

a b c (Å): 3.0391 3.0391 7.2190
angles (deg): 90.00 90.00 120.00
Last column: nearest neighbours and their distance in Å.
Positions (direct):
Al: 0.0000 0.0000 0.0000  12 B 2.32
Au: 0.0000 0.0000 0.5000  12 B 2.73, 6 Au 3.04
B: 0.6667 0.3333 0.2107  3 B 1.75
B: 0.3333 0.6667 0.2107  3 B 1.75
B: 0.6667 0.3333 0.7893  3 B 1.75
B: 0.3333 0.6667 0.7893  3 B 1.75

---

(2)
The following is a PBE calculation of a relaxed AlB4Au crystal, from the Open Quantum Materials Database.

**Excess energy over the best structure of this formula in the dataset**: 118 meV per atom
**VASP energy**: -5.2502 eV per atom
**Symmetry**: Immm, No. 71

a b c (Å): 4.7122 4.7122 4.7122
angles (deg): 141.65 112.17 80.69
Last column: nearest neighbours and their distance in Å.
Positions (direct):
Al: 0.0000 0.0000 0.0000  12 B 2.46-2.57
Au: 0.5000 0.5000 0.0000  12 B 2.40-2.63
B: 0.5919 0.2664 0.3255  3 B 1.76-1.83
B: 0.0591 0.7336 0.3255  3 B 1.76-1.83
B: 0.9409 0.2664 0.6745  3 B 1.76-1.83
B: 0.4081 0.7336 0.6745  3 B 1.76-1.83

---

(3)
The following is a PBE calculation of a relaxed AlBAu crystal, from the Open Quantum Materials Database.

**VASP energy**: -3.8848 eV per atom
**Symmetry**: F-43m, No. 216

a b c (Å): 4.0316 4.0316 4.0316
angles (deg): 60.00 60.00 60.00
Last column: nearest neighbours and their distance in Å.
Positions (direct):
Al: 0.0000 0.0000 0.0000  4 B 2.47, 4 Au 2.47
Au: 0.2500 0.2500 0.2500  4 Al 2.47
B: 0.7500 0.7500 0.7500  4 Al 2.47

---

(4)
The following is a PBE calculation of a relaxed AlB2Au crystal, from the Open Quantum Materials Database.

**VASP energy**: -3.8205 eV per atom
**Symmetry**: F-43m, No. 216

a b c (Å): 4.1359 4.1359 4.1359
angles (deg): 60.00 60.00 60.00
Last column: nearest neighbours and their distance in Å.
Positions (direct):
Al: 0.7500 0.7500 0.7500  4 Au 2.53, 4 B 2.53
Au: 0.5000 0.5000 0.5000  4 Al 2.53, 4 B 2.53
B: 0.0000 0.0000 0.0000  4 Al 2.53, 4 B 2.53
B: 0.2500 0.2500 0.2500  4 Au 2.53, 4 B 2.53

---

(5)
The following is a PBE calculation of a relaxed CsAlBAu crystal, from the Open Quantum Materials Database.

**Excess energy over the best structure of this formula in the dataset**: 184 meV per atom
**VASP energy**: -2.1902 eV per atom
**Symmetry**: F-43m, No. 216

a b c (Å): 5.1759 5.1759 5.1759
angles (deg): 60.00 60.00 60.00
Last column: nearest neighbours and their distance in Å.
Positions (direct):
Al: 0.2500 0.2500 0.2500  4 B 3.17, 4 Cs 3.17
Au: 0.7500 0.7500 0.7500  4 Cs 3.17, 4 B 3.17
B: 0.5000 0.5000 0.5000  4 Al 3.17, 4 Au 3.17
Cs: 0.0000 0.0000 0.0000  4 Au 3.17, 4 Al 3.17

---

(6)
The following is a PBE calculation of a relaxed CsAlBAu crystal, from the Open Quantum Materials Database.

**Excess energy over the best structure of this formula in the dataset**: 0 meV per atom
**VASP energy**: -2.3741 eV per atom
**Symmetry**: F-43m, No. 216

a b c (Å): 5.1290 5.1290 5.1290
angles (deg): 60.00 60.00 60.00
Last column: nearest neighbours and their distance in Å.
Positions (direct):
Al: 0.5000 0.5000 0.5000  4 Au 3.14, 4 B 3.14
Au: 0.7500 0.7500 0.7500  4 Al 3.14, 4 Cs 3.14
B: 0.2500 0.2500 0.2500  4 Al 3.14, 4 Cs 3.14
Cs: 0.0000 0.0000 0.0000  4 Au 3.14, 4 B 3.14

---

(7)
The following is a PBE calculation of a relaxed KAlBAu crystal, from the Open Quantum Materials Database.

**Excess energy over the best structure of this formula in the dataset**: 197 meV per atom
**VASP energy**: -2.5876 eV per atom
**Symmetry**: F-43m, No. 216

a b c (Å): 4.7548 4.7548 4.7548
angles (deg): 60.00 60.00 60.00
Last column: nearest neighbours and their distance in Å.
Positions (direct):
Al: 0.2500 0.2500 0.2500  4 K 2.91, 4 B 2.91
Au: 0.7500 0.7500 0.7500  4 K 2.91, 4 B 2.91
B: 0.5000 0.5000 0.5000  4 Au 2.91, 4 Al 2.91
K: 0.0000 0.0000 0.0000  4 Au 2.91, 4 Al 2.91

---

(8)
The following is a PBE calculation of a relaxed KAlBAu crystal, from the Open Quantum Materials Database.

**Excess energy over the best structure of this formula in the dataset**: 0 meV per atom
**VASP energy**: -2.7849 eV per atom
**Symmetry**: F-43m, No. 216

a b c (Å): 4.7566 4.7566 4.7566
angles (deg): 60.00 60.00 60.00
Last column: nearest neighbours and their distance in Å.
Positions (direct):
Al: 0.5000 0.5000 0.5000  4 Au 2.91, 4 B 2.91
Au: 0.7500 0.7500 0.7500  4 K 2.91, 4 Al 2.91
B: 0.2500 0.2500 0.2500  4 Al 2.91, 4 K 2.91
K: 0.0000 0.0000 0.0000  4 Au 2.91, 4 B 2.91

---

(9)
The following is a PBE calculation of a relaxed NaAlBAu crystal, from the Open Quantum Materials Database.

**Excess energy over the best structure of this formula in the dataset**: 0 meV per atom
**VASP energy**: -3.2045 eV per atom
**Symmetry**: F-43m, No. 216

a b c (Å): 4.4300 4.4300 4.4300
angles (deg): 60.00 60.00 60.00
Last column: nearest neighbours and their distance in Å.
Positions (direct):
Al: 0.0000 0.0000 0.0000  4 Au 2.71, 4 B 2.71
Au: 0.7500 0.7500 0.7500  4 Al 2.71, 4 Na 2.71
B: 0.2500 0.2500 0.2500  4 Na 2.71, 4 Al 2.71
Na: 0.5000 0.5000 0.5000  4 B 2.71, 4 Au 2.71

---

(10)
The following is a PBE calculation of a relaxed NaAlBAu crystal, from the Open Quantum Materials Database.

**Excess energy over the best structure of this formula in the dataset**: 38 meV per atom
**VASP energy**: -3.1662 eV per atom
**Symmetry**: F-43m, No. 216

a b c (Å): 4.3708 4.3708 4.3708
angles (deg): 60.00 60.00 60.00
Last column: nearest neighbours and their distance in Å.
Positions (direct):
Al: 0.5000 0.5000 0.5000  4 Au 2.68, 4 Na 2.68
Au: 0.7500 0.7500 0.7500  4 Al 2.68, 4 B 2.68
B: 0.0000 0.0000 0.0000  4 Au 2.68, 4 Na 2.68
Na: 0.2500 0.2500 0.2500  4 Al 2.68, 4 B 2.68

---

(11)
The following is a PBE calculation of a relaxed NaAlBAu crystal, from the Open Quantum Materials Database.

**Excess energy over the best structure of this formula in the dataset**: 159 meV per atom
**VASP energy**: -3.0459 eV per atom
**Symmetry**: F-43m, No. 216

a b c (Å): 4.3988 4.3988 4.3988
angles (deg): 60.00 60.00 60.00
Last column: nearest neighbours and their distance in Å.
Positions (direct):
Al: 0.2500 0.2500 0.2500  4 B 2.69, 4 Na 2.69
Au: 0.7500 0.7500 0.7500  4 Na 2.69, 4 B 2.69
B: 0.0000 0.0000 0.0000  4 Al 2.69, 4 Au 2.69
Na: 0.5000 0.5000 0.5000  4 Au 2.69, 4 Al 2.69

---

(12)
The following is a PBE calculation of a relaxed BaAl2Au3 crystal, from the Open Quantum Materials Database.

**VASP energy**: -3.8592 eV per atom
**Symmetry**: Cmcm, No. 63

a b c (Å): 7.0096 7.0096 5.6539
angles (deg): 90.00 90.00 74.27
Last column: nearest neighbours and their distance in Å.
Positions (direct):
Al: 0.1953 0.1953 0.0000  6 Au 2.57-2.85, 2 Al 2.83
Al: 0.8047 0.8047 0.0000  6 Au 2.57-2.85, 2 Al 2.83
Al: 0.1953 0.1953 0.5000  6 Au 2.57-2.85, 2 Al 2.83
Al: 0.8047 0.8047 0.5000  6 Au 2.57-2.85, 2 Al 2.83
Au: 0.9253 0.0747 0.2500  4 Al 2.68, 2 Au 2.85
Au: 0.5124 0.0976 0.2500  4 Al 2.57-2.85, 1 Au 2.85
Au: 0.9024 0.4876 0.2500  4 Al 2.57-2.85, 1 Au 2.85
Au: 0.0976 0.5124 0.7500  4 Al 2.57-2.85, 1 Au 2.85
Au: 0.4876 0.9024 0.7500  4 Al 2.57-2.85, 1 Au 2.85
Au: 0.0747 0.9253 0.7500  4 Al 2.68, 2 Au 2.85
Ba: 0.3308 0.6692 0.2500  9 Au 3.43-3.58, 4 Al 3.82
Ba: 0.6692 0.3308 0.7500  9 Au 3.43-3.58, 4 Al 3.82